[1]
{"formula": "Ac3InHg", "functional": "PBE-GGA", "state": "optimized geometry", "sg": "Cmcm, No. 63", "e_form_ev_per_atom": -0.341, "total_energy_ev_per_atom": -3.414, "cell": [[-4.797, -2.803, 1.655], [0.408, -3.445, -4.652], [3.601, -8.330, 6.485]], "species": ["Ac", "Ac", "Ac", "Ac", "Ac", "Ac", "In", "In", "Hg", "Hg"], "frac_coords": [[0.757, 0.250, 0.135], [0.384, 0.250, 0.880], [0.571, 0.250, 0.506], [0.264, 0.750, 0.120], [0.892, 0.750, 0.865], [0.077, 0.750, 0.494], [0.478, 0.750, 0.692], [0.170, 0.250, 0.308], [0.671, 0.750, 0.306], [0.977, 0.250, 0.694]]}

[2]
{"formula": "Nb2P2Pt", "functional": "PBE-GGA", "state": "optimized geometry", "sg": "P4/mbm, No. 127", "e_form_ev_per_atom": -0.621, "total_energy_ev_per_atom": -8.021, "cell": [[6.827, 0.000, 0.000], [0.000, 6.827, 0.000], [0.000, 0.000, 3.306]], "species": ["P", "P", "P", "P", "Nb", "Nb", "Nb", "Nb", "Pt", "Pt"], "frac_coords": [[0.352, 0.852, 0.000], [0.852, 0.648, 0.000], [0.648, 0.148, 0.000], [0.148, 0.352, 0.000], [0.149, 0.649, 0.500], [0.649, 0.851, 0.500], [0.851, 0.351, 0.500], [0.351, 0.149, 0.500], [0.000, 0.000, 0.000], [0.500, 0.500, 0.000]]}

[3]
{"formula": "K2CuCl4O2", "functional": "PBE-GGA", "state": "optimized geometry", "sg": "P4_2/mnm, No. 136", "total_energy_ev_per_atom": -3.225, "raw_formation_energy_ev_per_atom": -0.60, "cell": [[7.948, 0.000, 0.000], [0.000, 7.948, 0.000], [0.000, 0.000, 11.593]], "species": ["K", "K", "K", "K", "O", "O", "O", "O", "Cu", "Cu", "Cl", "Cl", "Cl", "Cl", "Cl", "Cl", "Cl", "Cl"], "frac_coords": [[0.500, 0.000, 0.250], [0.500, 0.000, 0.750], [0.000, 0.500, 0.250], [0.000, 0.500, 0.750], [0.000, 0.000, 0.155], [0.000, 0.000, 0.845], [0.500, 0.500, 0.655], [0.500, 0.500, 0.345], [0.000, 0.000, 0.000], [0.500, 0.500, 0.500], [0.189, 0.189, 0.165], [0.811, 0.811, 0.835], [0.811, 0.811, 0.165], [0.689, 0.311, 0.665], [0.689, 0.311, 0.335], [0.189, 0.189, 0.835], [0.311, 0.689, 0.335], [0.311, 0.689, 0.665]]}

[4]
{"formula": "La3Te", "functional": "PBE-GGA", "state": "optimized geometry", "sg": "C2/m, No. 12", "total_energy_ev_per_atom": -5.103, "raw_formation_energy_ev_per_atom": -0.62, "cell": [[6.356, -0.001, 0.002], [5.161, 3.710, 0.002], [1.191, 0.384, 5.612]], "species": ["La", "La", "La", "Te"], "frac_coords": [[0.500, 0.500, 0.500], [0.723, 0.723, 0.780], [0.277, 0.277, 0.220], [0.000, 0.000, 0.000]]}

[5]
{"formula": "Ho2MgCr", "functional": "PBE-GGA", "state": "optimized geometry", "sg": "P4/mmm, No. 123", "e_form_ev_per_atom": 0.122, "total_energy_ev_per_atom": -4.971, "cell": [[3.557, 0.000, 0.000], [0.000, 3.557, 0.000], [0.000, 0.000, 7.848]], "species": ["Cr", "Mg", "Ho", "Ho"], "frac_coords": [[0.500, 0.500, 0.000], [0.500, 0.500, 0.500], [0.000, 0.000, 0.782], [0.000, 0.000, 0.218]]}

[6]
{"formula": "AcCu2Au6", "functional": "PBE-GGA", "state": "optimized geometry", "sg": "P6/mmm, No. 191", "e_form_ev_per_atom": -0.187, "total_energy_ev_per_atom": -3.738, "cell": [[-3.312, 3.805, 2.526], [-2.299, -4.245, -2.920], [-0.104, -4.192, 6.177]], "species": ["Ac", "Cu", "Cu", "Au", "Au", "Au", "Au", "Au", "Au"], "frac_coords": [[0.000, 0.000, 0.000], [0.333, 0.667, 0.500], [0.667, 0.333, 0.500], [0.500, 0.000, 0.222], [0.500, 0.500, 0.222], [0.000, 0.500, 0.222], [0.500, 0.500, 0.778], [0.000, 0.500, 0.778], [0.500, 0.000, 0.778]]}

[7]
{"formula": "Hf2TlPb", "functional": "PBE-GGA", "state": "optimized geometry", "sg": "P4/mmm, No. 123", "e_form_ev_per_atom": 0.114, "total_energy_ev_per_atom": -6.381, "cell": [[-4.342, 0.234, 0.751], [-0.288, -4.548, -0.248], [0.761, -0.293, 4.490]], "species": ["Pb", "Tl", "Hf", "Hf"], "frac_coords": [[0.500, 0.500, 0.500], [0.500, 0.000, 0.000], [0.000, 0.000, 0.500], [0.000, 0.500, 0.000]]}

[8]
{"formula": "Ta2TiIr3", "functional": "PBE-GGA", "state": "optimized geometry", "sg": "Cmmm, No. 65", "e_form_ev_per_atom": -0.665, "total_energy_ev_per_atom": -10.363, "cell": [[4.120, -0.002, 0.019], [2.057, 6.151, 0.010], [-0.035, 0.000, 7.485]], "species": ["Ta", "Ta", "Ta", "Ta", "Ti", "Ti", "Ir", "Ir", "Ir", "Ir", "Ir", "Ir"], "frac_coords": [[0.000, 0.000, 0.000], [0.000, 0.000, 0.500], [0.334, 0.332, 0.500], [0.666, 0.668, 0.500], [0.331, 0.339, 0.000], [0.669, 0.661, 0.000], [0.833, 0.334, 0.761], [0.500, 0.000, 0.239], [0.167, 0.666, 0.239], [0.833, 0.334, 0.239], [0.167, 0.666, 0.761], [0.500, 0.000, 0.761]]}